No. 1
Computed, not measured: crystalline La2Ho3TmTe6 at its relaxed geometry at the GGA-PBE level of DFT.

Properties
As for the symmetry: C2/m. As for the magnetization: 0.0 μB/cell. For the energy relative to the elements, uncorrected, the calculation gives -1.349 eV per atom. As for the calculated volume: 364.8 Å³/cell.

a b c (Å): 9.8721 9.8721 8.8981
angles (deg): 103.04 103.04 25.62
With the nearest neighbours (Å) after each atom.
Atoms (fractional coordinates):
1 La 0.1682 0.1682 0.3350  6 Te 3.19-3.27
2 La 0.8318 0.8318 0.6650  6 Te 3.19-3.27
3 Ho 0.1734 0.1734 0.8351  6 Te 3.04-3.13
4 Ho 0.5000 0.5000 0.5000  6 Te 3.02-3.14
5 Ho 0.8266 0.8266 0.1649  6 Te 3.04-3.13
6 Tm 0.5000 0.5000 0.0000  6 Te 3.04-3.11
7 Te 0.0062 0.0062 0.7558  2 Tm 3.11, 3 Ho 3.13-3.14, 1 La 3.27
8 Te 0.3376 0.3376 0.9318  1 Tm 3.04, 3 Ho 3.06-3.08, 2 La 3.21
9 Te 0.3386 0.3386 0.4068  3 Ho 3.02-3.04, 3 La 3.19-3.20
10 Te 0.6614 0.6614 0.5932  3 Ho 3.02-3.04, 3 La 3.19-3.20
11 Te 0.6624 0.6624 0.0682  1 Tm 3.04, 3 Ho 3.06-3.08, 2 La 3.21
12 Te 0.9938 0.9938 0.2442  2 Tm 3.11, 3 Ho 3.13-3.14, 1 La 3.27

***

No. 2
Computed, not measured: crystalline La2HoTm3Te6 at its relaxed geometry at the GGA-PBE level of DFT.

Properties
As for the symmetry: C2/m. As for the magnetization: 0.0 μB/cell. For the energy relative to the elements, uncorrected, the calculation gives -1.326 eV per atom. As for the calculated volume: 361.6 Å³/cell.

a b c (Å): 9.8936 9.8936 8.9109
angles (deg): 104.45 104.45 25.39
With the nearest neighbours (Å) after each atom.
Atoms (fractional coordinates):
1 La 0.1674 0.1674 0.3340  6 Te 3.21-3.25
2 La 0.8326 0.8326 0.6660  6 Te 3.21-3.25
3 Ho 0.5000 0.5000 0.0000  6 Te 3.08-3.13
4 Tm 0.1720 0.1720 0.8348  6 Te 3.02-3.08
5 Tm 0.5000 0.5000 0.5000  6 Te 3.01-3.10
6 Tm 0.8280 0.8280 0.1652  6 Te 3.02-3.08
7 Te 0.0067 0.0067 0.7512  3 Tm 3.08-3.10, 2 Ho 3.13, 1 La 3.25
8 Te 0.3353 0.3353 0.9331  3 Tm 3.03-3.05, 1 Ho 3.08, 2 La 3.21
9 Te 0.3389 0.3389 0.4053  3 Tm 3.01-3.02, 3 La 3.21
10 Te 0.6611 0.6611 0.5947  3 Tm 3.01-3.02, 3 La 3.21
11 Te 0.6647 0.6647 0.0669  3 Tm 3.03-3.05, 1 Ho 3.08, 2 La 3.21
12 Te 0.9933 0.9933 0.2488  3 Tm 3.08-3.10, 2 Ho 3.13, 1 La 3.25